(1)
A geometry-optimized Ac8FeRu2 structure, computed with PBE-GGA.

## Properties
Theoretical density, kg/m3: 8457
Energy relative to the elements, eV per atom: 0.01
V, Å³/cell: 814.4

Cell and atoms, written as CIF:
```
data_Ac8FeRu2
_space_group_name_H-M_alt 'C 1 2/m 1'
_space_group_IT_number 12
_space_group_name_Hall '-C 2y'
_cell_length_a 13.930
_cell_length_b 7.522
_cell_length_c 7.773
_cell_angle_alpha 90.00
_cell_angle_beta 90.48
_cell_angle_gamma 90.00
loop_
_atom_site_label
_atom_site_fract_x
_atom_site_fract_y
_atom_site_fract_z
_atom_site_occupancy
Ac1 0.039 0.244 0.242 1
Ac2 0.199 0.000 0.617 1
Ac3 0.207 0.500 0.898 1
Fe1 0.000 0.000 0.500 1
Ru1 0.111 0.000 0.952 1
```

=====

(2)
A geometry-optimized TaAs3I structure, computed with PBE-GGA.

## Properties
Theoretical density, kg/m3: 6840
ΔE_f (raw), eV/atom: 0.281
V, Å³/cell: 129.3
Energy above the most stable polymorph in this dataset, eV/atom: 0.0000

Cell and atoms, written as CIF:
```
data_TaAs3I
_space_group_name_H-M_alt 'P m -3 m'
_space_group_IT_number 221
_space_group_name_Hall '-P 4 2 3'
_cell_length_a 5.057
_cell_length_b 5.057
_cell_length_c 5.057
_cell_angle_alpha 90.00
_cell_angle_beta 90.00
_cell_angle_gamma 90.00
loop_
_atom_site_label
_atom_site_fract_x
_atom_site_fract_y
_atom_site_fract_z
_atom_site_occupancy
Ta1 0.000 0.000 0.000 1
As1 0.000 0.000 0.500 1
I1 0.500 0.500 0.500 1
```

=====

(3)
A geometry-optimized TbDy2Ho2Er2 structure, computed with PBE-GGA.

## Properties
Theoretical density, kg/m3: 8686
Energy relative to the elements, eV per atom: 0.14
V, Å³/cell: 658.6

Cell and atoms, written as CIF:
```
data_TbDy2Ho2Er2
_space_group_name_H-M_alt 'R -3 m'
_space_group_IT_number 166
_space_group_name_Hall '-R 3 2"'
_cell_length_a 5.6069
_cell_length_b 5.6069
_cell_length_c 24.1907
_cell_angle_alpha 90.00
_cell_angle_beta 90.00
_cell_angle_gamma 120.00
loop_
_atom_site_label
_atom_site_fract_x
_atom_site_fract_y
_atom_site_fract_z
_atom_site_occupancy
Tb1 0.0000 0.0000 0.0000 1
Dy1 0.0000 0.0000 0.1414 1
Ho1 0.0000 0.0000 0.4263 1
Er1 0.0000 0.0000 0.2829 1
```

=====

(4)
A geometry-optimized Mg2GeBr6 structure, computed with PBE-GGA.

## Properties
Theoretical density, kg/m3: 3501
ΔE_f (raw), eV/atom: -1.174
V, Å³/cell: 284.9

Cell and atoms, written as CIF:
```
data_Mg2GeBr6
_space_group_name_H-M_alt 'P -3 1 m'
_space_group_IT_number 162
_space_group_name_Hall '-P 3 2'
_cell_length_a 6.8494
_cell_length_b 6.8494
_cell_length_c 7.0118
_cell_angle_alpha 90.00
_cell_angle_beta 90.00
_cell_angle_gamma 120.00
loop_
_atom_site_label
_atom_site_fract_x
_atom_site_fract_y
_atom_site_fract_z
_atom_site_occupancy
Mg1 0.3333 0.6667 0.0000 1
Ge1 0.0000 0.0000 0.0000 1
Br1 0.0000 0.3480 0.2183 1
```